# 1
First-principles (PBE-GGA) data for crystalline Li2La2Hg at its relaxed geometry, as listed in the Alexandria database.

Cell lengths 3.717, 3.717, 20.358 Å; angles 90.00, 90.00, 90.00 degrees
Space group I4/mmm (No. 139)
Symmetry-distinct sites (fractional):
1 Li 0.000 0.500 0.250 [4 per cell]
2 La 0.000 0.000 0.102 [4 per cell]
3 Hg 0.000 0.000 0.500 [2 per cell]

Summary:
Calculated total energy ... -28.57 eV for the cell shown
Fermi-level density of states ... 10.75 states/eV/cell
DFT formation energy ... -0.3 eV/f.u.

# 2
First-principles (PBE-GGA) data for crystalline FeTe3Ru at its relaxed geometry, as listed in the Alexandria database.

Cell lengths 4.895, 4.895, 4.895 Å; angles 90.00, 90.00, 90.00 degrees
Space group Pm-3m (No. 221)
Symmetry-distinct sites (fractional):
1 Fe 0.000 0.000 0.000 [1 per cell]
2 Te 0.000 0.000 0.500 [3 per cell]
3 Ru 0.500 0.500 0.500 [1 per cell]

Summary:
Uncorrected formation energy ... 1.0045 eV per atom
Calculated total energy ... -22.14 eV for the cell shown
Fermi-level density of states ... 6.64 states/eV/cell